No. 1
The following is a PBE-GGA calculation of a relaxed Sn4PdPt crystal, from the Alexandria database.

Calculated values
**Symmetry**: P4/mmm
**Energy of formation from the pure elements**: -0.42 eV/atom
**DOS(E_F)**: 2.167 states/eV/f.u.
**VASP energy**: -4.9589 eV per atom

Cell lengths 4.602, 4.602, 6.594 Å; angles 90.00, 90.00, 90.00 degrees
Atoms (fractional coordinates):
Sn1 0.000 0.500 0.250
Sn2 0.000 0.500 0.750
Sn3 0.500 0.000 0.250
Sn4 0.500 0.000 0.750
Pd1 0.000 0.000 0.000
Pt1 0.500 0.500 0.500


No. 2
The following is a PBE-GGA calculation of a relaxed Pu2GeO crystal, from the Alexandria database.

Calculated values
**Symmetry**: P4/mmm
**DOS(E_F)**: 9.170 states/eV/f.u.
**VASP energy**: -10.6944 eV per atom

Cell lengths 3.117, 3.117, 7.413 Å; angles 90.00, 90.00, 90.00 degrees
Atoms (fractional coordinates):
Pu1 0.000 0.000 0.212
Pu2 0.000 0.000 0.788
Ge1 0.500 0.500 0.500
O1 0.500 0.500 0.000


What did the first record say?
The following is a PBE-GGA calculation of a relaxed Sn4PdPt crystal, from the Alexandria database.

Calculated values
**Symmetry**: P4/mmm
**Energy of formation from the pure elements**: -0.42 eV/atom
**DOS(E_F)**: 2.167 states/eV/f.u.
**VASP energy**: -4.9589 eV per atom

Cell lengths 4.602, 4.602, 6.594 Å; angles 90.00, 90.00, 90.00 degrees
Atoms (fractional coordinates):
Sn1 0.000 0.500 0.250
Sn2 0.000 0.500 0.750
Sn3 0.500 0.000 0.250
Sn4 0.500 0.000 0.750
Pd1 0.000 0.000 0.000
Pt1 0.500 0.500 0.500